The following is a DFT calculation (PBE-GGA) of crystalline Nd5Ga2I at its relaxed geometry.

Values from the calculation:
symmetry: I4/mcm, No. 140
E: -4.418 eV/atom
D(E_F): 1.158 states/eV per atom

Cell lengths 8.9264, 8.9264, 8.9264 Å; angles 123.56, 123.56, 83.94 degrees
Closest atoms and distances in Å follow each position.
Sites, in units of the cell vectors:
Nd 0.0000 0.0000 0.0000  4 Ga 3.21, 2 I 3.32
Nd 0.0106 0.5106 0.8022  3 Ga 3.02-3.15
Nd 0.2084 0.0106 0.5000  3 Ga 3.02-3.15
Nd 0.2916 0.7916 0.8022  3 Ga 3.02-3.15
Nd 0.4894 0.2916 0.5000  3 Ga 3.02-3.15
Nd 0.5000 0.5000 0.0000  4 Ga 3.21, 2 I 3.32
Nd 0.5106 0.7084 0.5000  3 Ga 3.02-3.15
Nd 0.7084 0.2084 0.1978  3 Ga 3.02-3.15
Nd 0.7916 0.9894 0.5000  3 Ga 3.02-3.15
Nd 0.9894 0.4894 0.1978  3 Ga 3.02-3.15
Ga 0.1502 0.3498 0.5000  8 Nd 3.02-3.21
Ga 0.3498 0.8498 0.1995  8 Nd 3.02-3.21
Ga 0.6502 0.1502 0.8005  8 Nd 3.02-3.21
Ga 0.8498 0.6502 0.5000  8 Nd 3.02-3.21
I 0.2500 0.2500 0.0000  10 Nd 3.32-3.52
I 0.7500 0.7500 0.0000  10 Nd 3.32-3.52

---

The following is a DFT calculation (PBE-GGA) of crystalline NdGa2I5 at its relaxed geometry.

Values from the calculation:
symmetry: Cc, No. 9
E: -3.185 eV/atom
D(E_F): 0.000 states/eV per atom

Cell lengths 8.9953, 8.9953, 11.7125 Å; angles 110.32, 110.32, 54.61 degrees
Closest atoms and distances in Å follow each position.
Sites, in units of the cell vectors:
Nd 0.9999 0.0001 0.0000  6 I 3.11-3.21
Nd 0.0001 0.9999 0.5000  6 I 3.11-3.21
Ga 0.3645 0.4132 0.7948  5 I 3.08-3.38
Ga 0.4132 0.3645 0.2948  5 I 3.08-3.38
Ga 0.5867 0.6343 0.7047  5 I 3.08-3.37
Ga 0.6343 0.5867 0.2047  5 I 3.08-3.37
I 0.0274 0.3481 0.1439  2 Ga 3.08-3.37, 1 Nd 3.11
I 0.1579 0.8422 0.2500  2 Nd 3.20-3.21
I 0.2283 0.5914 0.5410  1 Nd 3.12, 3 Ga 3.25-3.38
I 0.3481 0.0274 0.6439  2 Ga 3.08-3.37, 1 Nd 3.11
I 0.4081 0.7717 0.9582  1 Nd 3.12, 3 Ga 3.25-3.37
I 0.5914 0.2283 0.0410  1 Nd 3.12, 3 Ga 3.25-3.38
I 0.6522 0.9720 0.3563  2 Ga 3.08-3.37, 1 Nd 3.11
I 0.7717 0.4081 0.4582  1 Nd 3.12, 3 Ga 3.25-3.37
I 0.8422 0.1579 0.7500  2 Nd 3.20-3.21
I 0.9720 0.6522 0.8563  2 Ga 3.08-3.37, 1 Nd 3.11

---

The following is a DFT calculation (PBE-GGA) of crystalline Nd4Ga2I5 at its relaxed geometry.

Values from the calculation:
symmetry: C2/m, No. 12
E: -3.959 eV/atom
D(E_F): 0.429 states/eV per atom

Cell lengths 12.3930, 12.3930, 8.7760 Å; angles 90.95, 90.95, 20.03 degrees
Closest atoms and distances in Å follow each position.
Sites, in units of the cell vectors:
Nd 0.0168 0.0168 0.2893  4 Ga 3.09-3.15, 3 I 3.28-3.35
Nd 0.3386 0.3386 0.5547  1 Ga 2.84
Nd 0.6614 0.6614 0.4453  1 Ga 2.84
Nd 0.9832 0.9832 0.7107  4 Ga 3.09-3.15, 3 I 3.28-3.35
Ga 0.4508 0.4508 0.4736  1 Ga 2.44
Ga 0.5492 0.5492 0.5264  1 Ga 2.44
I 0.1450 0.1450 0.1818  3 Nd 3.18-3.28
I 0.2077 0.2077 0.6836  3 Nd 3.20-3.41
I 0.5000 0.5000 0.0000  4 Nd 3.35
I 0.7923 0.7923 0.3164  3 Nd 3.20-3.41
I 0.8550 0.8550 0.8182  3 Nd 3.18-3.28

---

The following is a DFT calculation (PBE-GGA) of crystalline Nd4Ga2I at its relaxed geometry.

Values from the calculation:
symmetry: Fddd, No. 70
E: -4.183 eV/atom
D(E_F): 1.112 states/eV per atom

Cell lengths 9.1721, 9.1612, 9.1549 Å; angles 60.10, 59.98, 59.92 degrees
Closest atoms and distances in Å follow each position.
Sites, in units of the cell vectors:
Nd 0.1873 0.7702 0.7708  3 Ga 2.99, 1 I 3.27
Nd 0.2283 0.2292 0.2298  3 Ga 2.99, 1 I 3.27
Nd 0.2292 0.2283 0.8127  3 Ga 2.99, 1 I 3.27
Nd 0.2298 0.8127 0.2283  3 Ga 2.99, 1 I 3.27
Nd 0.7702 0.1873 0.7717  3 Ga 2.99, 1 I 3.27
Nd 0.7708 0.7717 0.1873  3 Ga 2.99, 1 I 3.27
Nd 0.7717 0.7708 0.7702  3 Ga 2.99, 1 I 3.27
Nd 0.8127 0.2298 0.2292  3 Ga 2.99, 1 I 3.27
Ga 0.0000 0.0000 0.0000  6 Nd 2.99
Ga 0.0000 0.0000 0.5000  6 Nd 2.99
Ga 0.0000 0.5000 0.0000  6 Nd 2.99
Ga 0.5000 0.0000 0.0000  6 Nd 2.99
I 0.3750 0.3750 0.3750  4 Nd 3.27
I 0.6250 0.6250 0.6250  4 Nd 3.27

---

The following is a DFT calculation (PBE-GGA) of crystalline NdGaI at its relaxed geometry.

Values from the calculation:
symmetry: C2/m, No. 12
E: -4.195 eV/atom
D(E_F): 0.370 states/eV per atom

Cell lengths 4.3021, 4.3021, 12.6620 Å; angles 99.91, 99.91, 60.00 degrees
Closest atoms and distances in Å follow each position.
Sites, in units of the cell vectors:
Nd 0.0572 0.0572 0.1692  3 Ga 3.07, 3 I 3.23
Nd 0.9428 0.9428 0.8308  3 Ga 3.07, 3 I 3.23
Ga 0.3415 0.3415 0.0242  3 Ga 2.56
Ga 0.6585 0.6585 0.9758  3 Ga 2.56
I 0.2201 0.2201 0.6647  3 Nd 3.23
I 0.7799 0.7799 0.3353  3 Nd 3.23

---

The following is a DFT calculation (PBE-GGA) of crystalline Nd2GaI at its relaxed geometry.

Values from the calculation:
symmetry: R-3m, No. 166
excess energy over the best structure of this formula in the dataset: 0 meV/atom
D(E_F): 0.546 states/eV per atom

Cell lengths 7.9840, 7.9840, 7.9840 Å; angles 31.84, 31.84, 31.84 degrees
Closest atoms and distances in Å follow each position.
Sites, in units of the cell vectors:
Nd 0.2374 0.2374 0.2374  3 Ga 3.00, 3 I 3.34
Nd 0.7626 0.7626 0.7626  3 Ga 3.00, 3 I 3.34
Ga 0.5000 0.5000 0.5000  6 Nd 3.00
I 0.0000 0.0000 0.0000  6 Nd 3.34

---

The following is a DFT calculation (PBE-GGA) of crystalline NdGaI2 at its relaxed geometry.

Values from the calculation:
symmetry: R-3m, No. 166
E: -3.102 eV/atom
D(E_F): 0.447 states/eV per atom

Cell lengths 10.6646, 10.6646, 10.6646 Å; angles 22.93, 22.93, 22.93 degrees
Closest atoms and distances in Å follow each position.
Sites, in units of the cell vectors:
Nd 0.0000 0.0000 0.0000  2 I 3.08
Ga 0.5000 0.5000 0.5000  6 I 3.23
I 0.0989 0.0989 0.0989  1 Nd 3.08, 3 Ga 3.23
I 0.9011 0.9011 0.9011  1 Nd 3.08, 3 Ga 3.23

---

The following is a DFT calculation (PBE-GGA) of crystalline Nd3GaI at its relaxed geometry.

Values from the calculation:
symmetry: Pmma, No. 51
E: -4.228 eV/atom
D(E_F): 1.219 states/eV per atom

Cell lengths 6.1772, 5.7401, 9.0777 Å; angles 90.00, 90.00, 90.00 degrees
Closest atoms and distances in Å follow each position.
Sites, in units of the cell vectors:
Nd 0.0000 0.0000 0.0000  2 Ga 3.06, 2 Nd 3.09
Nd 0.2500 0.0000 0.3804  3 Ga 2.98-3.19
Nd 0.2500 0.5000 0.6966  2 Ga 2.87
Nd 0.5000 0.0000 0.0000  2 Ga 3.06, 2 Nd 3.09
Nd 0.7500 0.0000 0.6196  3 Ga 2.98-3.19
Nd 0.7500 0.5000 0.3034  2 Ga 2.87
Ga 0.2500 0.0000 0.7089  7 Nd 2.87-3.19
Ga 0.7500 0.0000 0.2911  7 Nd 2.87-3.19
I 0.2500 0.5000 0.1432  8 Nd 3.41-3.59
I 0.7500 0.5000 0.8568  8 Nd 3.41-3.59

---

The following is a DFT calculation (PBE-GGA) of crystalline Nd8Ga3OsI4 at its relaxed geometry.

Values from the calculation:
symmetry: C2/m, No. 12
E: -4.747 eV/atom
D(E_F): 0.784 states/eV per atom

Cell lengths 8.6908, 8.6908, 9.2923 Å; angles 117.91, 117.91, 59.95 degrees
Closest atoms and distances in Å follow each position.
Sites, in units of the cell vectors:
Nd 0.2232 0.2232 0.6957  1 Os 2.83, 2 Ga 3.00
Nd 0.2230 0.7495 0.6954  1 Os 2.82, 2 Ga 3.00
Nd 0.2505 0.7770 0.3046  1 Os 2.82, 2 Ga 3.00
Nd 0.2618 0.2618 0.2855  3 Ga 3.02, 3 I 3.36
Nd 0.7382 0.7382 0.7145  3 Ga 3.02, 3 I 3.36
Nd 0.7495 0.2230 0.6954  1 Os 2.82, 2 Ga 3.00
Nd 0.7770 0.2505 0.3046  1 Os 2.82, 2 Ga 3.00
Nd 0.7768 0.7768 0.3043  1 Os 2.83, 2 Ga 3.00
Ga 0.0000 0.5000 0.5000  6 Nd 3.00-3.02
Ga 0.5000 0.0000 0.5000  6 Nd 3.00-3.02
Ga 0.5000 0.5000 0.5000  6 Nd 3.00-3.02
Os 0.0000 0.0000 0.5000  6 Nd 2.82-2.83
I 0.0000 0.0000 0.0000  6 Nd 3.36-3.41
I 0.0000 0.5000 0.0000  6 Nd 3.36-3.41
I 0.5000 0.0000 0.0000  6 Nd 3.36-3.41
I 0.5000 0.5000 0.0000  6 Nd 3.55-3.56

---

The following is a DFT calculation (PBE-GGA) of crystalline Nd8Ga3PdI4 at its relaxed geometry.

Values from the calculation:
symmetry: C2/m, No. 12
E: -4.433 eV/atom
D(E_F): 0.935 states/eV per atom

Cell lengths 8.7470, 8.7470, 9.1583 Å; angles 118.60, 118.60, 59.89 degrees
Closest atoms and distances in Å follow each position.
Sites, in units of the cell vectors:
Nd 0.2332 0.7374 0.7038  1 Pd 2.95, 2 Ga 2.97
Nd 0.2336 0.2336 0.7045  1 Pd 2.95, 2 Ga 2.97
Nd 0.2622 0.2622 0.2864  3 Ga 3.00-3.01, 3 I 3.34
Nd 0.2626 0.7668 0.2962  1 Pd 2.95, 2 Ga 2.97
Nd 0.7374 0.2332 0.7038  1 Pd 2.95, 2 Ga 2.97
Nd 0.7378 0.7378 0.7136  3 Ga 3.00-3.01, 3 I 3.34
Nd 0.7664 0.7664 0.2955  1 Pd 2.95, 2 Ga 2.97
Nd 0.7668 0.2626 0.2962  1 Pd 2.95, 2 Ga 2.97
Ga 0.0000 0.5000 0.5000  6 Nd 2.97-3.00
Ga 0.5000 0.0000 0.5000  6 Nd 2.97-3.00
Ga 0.5000 0.5000 0.5000  6 Nd 2.97-3.01
Pd 0.0000 0.0000 0.5000  6 Nd 2.95
I 0.0000 0.0000 0.0000  6 Nd 3.34-3.38
I 0.0000 0.5000 0.0000  6 Nd 3.34-3.38
I 0.5000 0.0000 0.0000  6 Nd 3.34-3.38
I 0.5000 0.5000 0.0000  6 Nd 3.40

---

The following is a DFT calculation (PBE-GGA) of crystalline Nd8GaPt3I4 at its relaxed geometry.

Values from the calculation:
symmetry: R-3m, No. 166
E: -5.093 eV/atom
D(E_F): 0.700 states/eV per atom

Cell lengths 9.4355, 9.4355, 9.4355 Å; angles 54.30, 54.30, 54.30 degrees
Closest atoms and distances in Å follow each position.
Sites, in units of the cell vectors:
Nd 0.2221 0.7346 0.7346  2 Pt 2.89, 1 Ga 2.97
Nd 0.2301 0.2301 0.2301  3 Pt 2.92
Nd 0.2654 0.2654 0.7779  2 Pt 2.89, 1 Ga 2.97
Nd 0.2654 0.7779 0.2654  2 Pt 2.89, 1 Ga 2.97
Nd 0.7346 0.2221 0.7346  2 Pt 2.89, 1 Ga 2.97
Nd 0.7346 0.7346 0.2221  2 Pt 2.89, 1 Ga 2.97
Nd 0.7699 0.7699 0.7699  3 Pt 2.92
Nd 0.7779 0.2654 0.2654  2 Pt 2.89, 1 Ga 2.97
Ga 0.5000 0.5000 0.5000  6 Nd 2.97
Pt 0.0000 0.0000 0.5000  6 Nd 2.89-2.92
Pt 0.0000 0.5000 0.0000  6 Nd 2.89-2.92
Pt 0.5000 0.0000 0.0000  6 Nd 2.89-2.92
I 0.0000 0.0000 0.0000  6 Nd 3.47
I 0.0000 0.5000 0.5000  6 Nd 3.51-3.53
I 0.5000 0.0000 0.5000  6 Nd 3.51-3.53
I 0.5000 0.5000 0.0000  6 Nd 3.51-3.53

---

The following is a DFT calculation (PBE-GGA) of crystalline Rb2NdGaI6 at its relaxed geometry.

Values from the calculation:
symmetry: R3, No. 146
E: -3.141 eV/atom
D(E_F): 0.000 states/eV per atom

Cell lengths 8.8973, 8.8973, 8.8973 Å; angles 59.31, 59.31, 59.31 degrees
Closest atoms and distances in Å follow each position.
Sites, in units of the cell vectors:
Rb 0.0000 0.0000 0.0000  6 I 3.71-3.85
Rb 0.4936 0.4936 0.4936  6 I 3.72-3.87
Nd 0.7129 0.7129 0.7129  6 I 3.13-3.15
Ga 0.2166 0.2166 0.2166  6 I 3.27-3.36
I 0.0416 0.4647 0.8691  1 Nd 3.13, 1 Ga 3.36
I 0.3794 0.9423 0.5598  1 Nd 3.15, 1 Ga 3.27
I 0.4647 0.8691 0.0416  1 Nd 3.13, 1 Ga 3.36
I 0.5598 0.3794 0.9423  1 Nd 3.15, 1 Ga 3.27
I 0.8691 0.0416 0.4647  1 Nd 3.13, 1 Ga 3.36
I 0.9423 0.5598 0.3794  1 Nd 3.15, 1 Ga 3.27

---

D(E_F) of number 3 (Nd4Ga2I5)? 0.429 states/eV per atom

---

Among the records above, which one has the highest D(E_F)? Nd3GaI

---

The highest D(E_F) belongs to which entry? Nd3GaI